[1]
! PmErSn2 (PBE, optimized geometry); values from VASP
! **Formation energy from the elements**: -729 meV per atom
! **Crystal system**: orthorhombic
! **Space group**: No. 38
&SYSTEM
  ibrav = 0, nat = 4, ntyp = 3
/
ATOMIC_SPECIES
Pm 145.00 Pm.upf
Er 167.26 Er.upf
Sn 118.71 Sn.upf
CELL_PARAMETERS angstrom
4.334 0.000 0.000
0.000 2.270 5.755
0.000 -2.270 5.755
ATOMIC_POSITIONS crystal
Pm 0.000 0.000 0.000
Er 0.500 0.731 0.731
Sn 0.000 0.273 0.273
Sn 0.500 0.458 0.458

[2]
! YCoTc2 (PBE, optimized geometry); values from VASP
! **Formation energy from the elements**: 346 meV per atom
! **Relative energy among the computed polymorphs**: 240 meV per atom
! **Crystal system**: tetragonal
! **Space group**: No. 123
&SYSTEM
  ibrav = 0, nat = 4, ntyp = 3
/
ATOMIC_SPECIES
Y 88.91 Y.upf
Co 58.93 Co.upf
Tc 98.00 Tc.upf
CELL_PARAMETERS angstrom
2.789 0.000 0.000
0.000 2.789 0.000
0.000 0.000 8.255
ATOMIC_POSITIONS crystal
Y 0.000 0.000 0.000
Co 0.000 0.000 0.500
Tc 0.500 0.500 0.297
Tc 0.500 0.500 0.703

[3]
! Pm2PdC2 (PBE, optimized geometry); values from VASP
! **Formation energy from the elements**: -320 meV per atom
! **Crystal system**: monoclinic
! **Space group**: No. 15
&SYSTEM
  ibrav = 0, nat = 10, ntyp = 3
/
ATOMIC_SPECIES
Pm 145.00 Pm.upf
Pd 106.42 Pd.upf
C 12.01 C.upf
CELL_PARAMETERS angstrom
7.120 -2.024 0.000
7.120 2.024 0.000
-1.901 0.000 6.755
ATOMIC_POSITIONS crystal
Pm 0.018 0.702 0.878
Pm 0.298 0.982 0.622
Pm 0.702 0.018 0.378
Pm 0.982 0.298 0.122
Pd 0.384 0.616 0.250
Pd 0.616 0.384 0.750
C 0.144 0.400 0.467
C 0.400 0.144 0.967
C 0.600 0.856 0.033
C 0.856 0.600 0.533

[4]
! GaHgCl3 (PBE, optimized geometry); values from VASP
! **Relative energy among the computed polymorphs**: 302 meV per atom
! **Crystal system**: cubic
! **E_form (uncorrected)**: -0.573 eV per atom
! **Space group**: No. 221
&SYSTEM
  ibrav = 0, nat = 5, ntyp = 3
/
ATOMIC_SPECIES
Ga 69.72 Ga.upf
Hg 200.59 Hg.upf
Cl 35.45 Cl.upf
CELL_PARAMETERS angstrom
4.948 0.000 0.000
0.000 4.948 0.000
0.000 0.000 4.948
ATOMIC_POSITIONS crystal
Ga 0.000 0.000 0.000
Hg 0.500 0.500 0.500
Cl 0.000 0.000 0.500
Cl 0.000 0.500 0.000
Cl 0.500 0.000 0.000

[5]
! TaIrPt2 (PBE, optimized geometry); values from VASP
! **Formation energy from the elements**: -385 meV per atom
! **Relative energy among the computed polymorphs**: 248 meV per atom
! **Crystal system**: tetragonal
! **Space group**: No. 99
&SYSTEM
  ibrav = 0, nat = 4, ntyp = 3
/
ATOMIC_SPECIES
Ta 180.95 Ta.upf
Ir 192.22 Ir.upf
Pt 195.08 Pt.upf
CELL_PARAMETERS angstrom
2.807 0.000 0.000
0.000 2.807 0.000
0.000 0.000 8.057
ATOMIC_POSITIONS crystal
Ta 0.000 0.000 0.000
Ir 0.500 0.500 0.238
Pt 0.000 0.000 0.490
Pt 0.500 0.500 0.750

[6]
! KAcS2O6 (PBE, optimized geometry); values from VASP
! **Crystal system**: trigonal
! **E_form (uncorrected)**: -2.030 eV per atom
! **Space group**: No. 148
&SYSTEM
  ibrav = 0, nat = 10, ntyp = 4
/
ATOMIC_SPECIES
K 39.10 K.upf
Ac 227.00 Ac.upf
S 32.06 S.upf
O 16.00 O.upf
CELL_PARAMETERS angstrom
2.742 1.583 7.031
-2.742 1.583 7.031
0.000 -3.166 7.031
ATOMIC_POSITIONS crystal
K 0.000 0.000 0.000
Ac 0.500 0.500 0.500
S 0.268 0.268 0.268
S 0.732 0.732 0.732
O 0.025 0.508 0.751
O 0.249 0.975 0.492
O 0.492 0.249 0.975
O 0.508 0.751 0.025
O 0.751 0.025 0.508
O 0.975 0.492 0.249